[1]
VASP calculation (PBE) on a geometry-optimized Be2ZnTe structure.

Cell: 6.342 6.342 6.342 Å, 90.00 90.00 90.00°
Space group Fm-3m (No. 225)
Symmetry-distinct sites (fractional):
Be (0.250, 0.250, 0.250) x8
Zn (0.000, 0.000, 0.000) x4
Te (0.000, 0.000, 0.500) x4

Output
E_tot, eV per atom: -2.22
Raw formation energy, eV/atom: 0.75
Polymorph energy (0 for the lowest one), eV/atom: 0.5307
Crystal system: cubic


[2]
VASP calculation (PBE) on a geometry-optimized BeZnTe4 structure.

Cell: 8.967 8.967 8.967 Å, 90.00 90.00 90.00°
Space group F-43m (No. 216)
Symmetry-distinct sites (fractional):
Be (0.000, 0.000, 0.000) x4
Zn (0.250, 0.250, 0.250) x4
Te (0.125, 0.125, 0.625) x16

Output
E_tot, eV per atom: -2.11
Raw formation energy, eV/atom: 0.82
Crystal system: cubic


[3]
VASP calculation (PBE) on a geometry-optimized Be2ZnTe structure.

Cell: 3.535 3.535 11.004 Å, 90.00 90.00 90.00°
Space group I-4m2 (No. 119)
Symmetry-distinct sites (fractional):
Be (0.000, 0.000, 0.000) x2
Be (0.000, 0.500, 0.250) x2
Zn (0.000, 0.000, 0.500) x2
Te (0.000, 0.500, 0.750) x2

Output
E_tot, eV per atom: -2.37
Raw formation energy, eV/atom: 0.60
Polymorph energy (0 for the lowest one), eV/atom: 0.3849
Crystal system: tetragonal


[4]
VASP calculation (PBE) on a geometry-optimized BeZn2Te structure.

Cell: 4.319 4.319 7.746 Å, 90.00 90.00 90.00°
Space group I-4m2 (No. 119)
Symmetry-distinct sites (fractional):
Be (0.000, 0.000, 0.000) x2
Zn (0.000, 0.000, 0.500) x2
Zn (0.000, 0.500, 0.250) x2
Te (0.000, 0.500, 0.750) x2

Output
E_tot, eV per atom: -1.86
Raw formation energy, eV/atom: 0.49
Polymorph energy (0 for the lowest one), eV/atom: 0.3034
Crystal system: tetragonal


[5]
VASP calculation (PBE) on a geometry-optimized Be2ZnTe structure.

Cell: 4.018 7.417 4.568 Å, 90.00 90.00 90.00°
Space group Cmmm (No. 65)
Symmetry-distinct sites (fractional):
Be (0.000, 0.181, 0.000) x4
Zn (0.000, 0.500, 0.000) x2
Te (0.000, 0.000, 0.500) x2

Output
E_tot, eV per atom: -2.73
Raw formation energy, eV/atom: 0.24
Polymorph energy (0 for the lowest one), eV/atom: 0.0260
Crystal system: orthorhombic


[6]
VASP calculation (PBE) on a geometry-optimized BeZn3Te structure.

Cell: 4.553 4.553 4.553 Å, 90.00 90.00 90.00°
Space group Pm-3m (No. 221)
Symmetry-distinct sites (fractional):
Be (0.000, 0.000, 0.000) x1
Zn (0.000, 0.000, 0.500) x3
Te (0.500, 0.500, 0.500) x1

Output
E_tot, eV per atom: -1.80
Raw formation energy, eV/atom: 0.34
Polymorph energy (0 for the lowest one), eV/atom: 0.0000
Crystal system: cubic


Question: Which value of raw formation energy does entry 3 give?
Answer: 0.60 eV/atom